Below is a relaxed structure of KTlSn2Hg, with properties calculated at the GGA-PBE level.

Unit cell a=4.8568 b=5.3121 c=7.2856 alpha=111.38 beta=109.47 gamma=90.00
With the nearest neighbours (Å) after each atom.
Fractional coordinates of all 5 atoms:
Hg1 0.8309 0.8309 0.6619  3 Sn 2.87-3.14, 2 Tl 3.03
Tl1 0.1873 0.6873 0.3746  2 Hg 3.03, 2 Sn 3.12
K1 0.4373 0.4373 0.8746  4 Hg 3.84, 8 Sn 3.87-4.25, 4 Tl 3.99-4.13
Sn1 0.6992 0.1992 0.3984  2 Sn 3.02, 2 Hg 3.14
Sn2 0.0574 0.0574 0.1147  1 Hg 2.87, 2 Sn 3.02, 2 Tl 3.12

Computed properties:
- Crystal system: orthorhombic
- Magnetic moment: 0.00 μB/cell
- Electronic total energy: -2.50 eV per atom
- Space-group type: No. 44